No. 1
# MnTe2Se

A relaxed structure of MnTe2Se (PBE-GGA, Alexandria).

Cell: 4.090 4.090 7.493 Å, 85.26 85.26 55.71°
Site moments in Bohr magnetons follow the coordinates.
Fractional coordinates of all 4 atoms:
Se 0.250 0.250 0.250  -0.06
Te 0.439 0.439 0.550  -0.10
Te 0.061 0.061 0.950  -0.10
Mn 0.750 0.750 0.750  3.49

total magnetic moment = 3.4 μB per cell
SG = C2/m
VASP energy = -18.9 eV for the cell shown
formation energy from raw total energies = 0.019 eV per atom

=====

No. 2
# MnTe4Se

A relaxed structure of MnTe4Se (PBE-GGA, Alexandria).

Cell: 6.263 6.263 6.263 Å, 60.00 60.00 60.00°
Site moments in Bohr magnetons follow the coordinates.
Fractional coordinates of all 6 atoms:
Te 0.876 0.375 0.375  -0.08
Te 0.375 0.375 0.876  -0.08
Te 0.375 0.876 0.375  -0.08
Te 0.375 0.375 0.375  -0.08
Mn 0.750 0.750 0.750  4.42
Se 0.000 0.000 0.000  -0.43

total magnetic moment = 3.6 μB per cell
SG = F-43m
VASP energy = -21.1 eV for the cell shown
formation energy from raw total energies = 0.692 eV per atom

=====

No. 3
# MnTe2Se

A relaxed structure of MnTe2Se (PBE-GGA, Alexandria).

Cell: 5.099 5.099 5.099 Å, 60.00 60.00 60.00°
Site moments in Bohr magnetons follow the coordinates.
Fractional coordinates of all 4 atoms:
Se 0.250 0.250 0.250  -0.04
Mn 0.500 0.500 0.500  4.06
Te 0.750 0.750 0.750  -0.08
Te 0.000 0.000 0.000  -0.09

total magnetic moment = 4.0 μB per cell
SG = F-43m
VASP energy = -17.3 eV for the cell shown
formation energy from raw total energies = 0.406 eV per atom

=====

No. 4
# Mn2TeSe

A relaxed structure of Mn2TeSe (PBE-GGA, Alexandria).

Cell: 3.826 7.431 3.709 Å, 90.00 90.00 90.00°
Site moments in Bohr magnetons follow the coordinates.
Fractional coordinates of all 4 atoms:
Mn 0.500 0.500 0.000  3.98
Mn 0.000 0.000 0.000  4.26
Se 0.500 0.000 0.500  0.10
Te 0.000 0.500 0.500  0.07

polymorph energy (0 for the lowest one) = 0.3126 eV per atom
total magnetic moment = 9.3 μB per cell
SG = Pmmm
VASP energy = -24.4 eV for the cell shown
formation energy from raw total energies = 0.136 eV per atom

=====

No. 5
# Mn2TeSe

A relaxed structure of Mn2TeSe (PBE-GGA, Alexandria).

Cell: 5.609 3.962 3.962 Å, 90.01 90.00 90.00°
Site moments in Bohr magnetons follow the coordinates.
Fractional coordinates of all 4 atoms:
Te 0.500 0.873 0.873  0.06
Se 0.000 0.376 0.376  0.10
Mn 0.500 0.373 0.373  4.14
Mn 0.000 0.878 0.878  4.25

polymorph energy (0 for the lowest one) = 0.0307 eV per atom
total magnetic moment = 9.3 μB per cell
SG = Amm2
VASP energy = -25.6 eV for the cell shown
formation energy from raw total energies = -0.146 eV per atom

=====

No. 6
# MnTe3Se

A relaxed structure of MnTe3Se (PBE-GGA, Alexandria).

Cell: 4.999 4.999 4.999 Å, 90.00 90.00 90.00°
Fractional coordinates of all 5 atoms:
Te 0.000 0.500 0.000
Te 0.500 0.000 0.000
Te 0.000 0.000 0.500
Se 0.500 0.500 0.500
Mn 0.000 0.000 0.000

polymorph energy (0 for the lowest one) = 0.0000 eV per atom
total magnetic moment = 0.0 μB per cell
SG = Pm-3m
VASP energy = -19.6 eV for the cell shown
formation energy from raw total energies = 0.492 eV per atom

=====

No. 7
# MnTe2Se

A relaxed structure of MnTe2Se (PBE-GGA, Alexandria).

Cell: 10.031 10.031 10.031 Å, 19.78 19.78 19.78°
Site moments in Bohr magnetons follow the coordinates.
Fractional coordinates of all 4 atoms:
Te 0.221 0.221 0.221  -0.12
Te 0.006 0.006 0.006  -0.04
Se 0.780 0.780 0.780  -0.10
Mn 0.494 0.494 0.494  2.74

total magnetic moment = 2.5 μB per cell
SG = R3m
VASP energy = -19.4 eV for the cell shown
formation energy from raw total energies = -0.103 eV per atom

=====

No. 8
# MnTe2Se

A relaxed structure of MnTe2Se (PBE-GGA, Alexandria).

Cell: 3.561 3.561 7.135 Å, 90.00 90.00 90.00°
Site moments in Bohr magnetons follow the coordinates.
Fractional coordinates of all 4 atoms:
Te 0.000 0.000 0.032  -0.08
Te 0.000 0.000 0.468  -0.08
Mn 0.500 0.500 0.250  3.69
Se 0.500 0.500 0.750  -0.01

total magnetic moment = 3.6 μB per cell
SG = P4/mmm
VASP energy = -18.0 eV for the cell shown
formation energy from raw total energies = 0.234 eV per atom

=====

No. 9
# MnTe3Se

A relaxed structure of MnTe3Se (PBE-GGA, Alexandria).

Cell: 5.416 5.416 5.416 Å, 90.00 90.00 90.00°
Site moments in Bohr magnetons follow the coordinates.
Fractional coordinates of all 5 atoms:
Te 0.000 0.000 0.500  0.02
Te 0.500 0.000 0.000  0.01
Te 0.000 0.500 0.000  -0.01
Se 0.000 0.000 0.000  0.01
Mn 0.500 0.500 0.500  -4.49

polymorph energy (0 for the lowest one) = 0.2235 eV per atom
total magnetic moment = 4.9 μB per cell
SG = Pm-3m
VASP energy = -18.5 eV for the cell shown
formation energy from raw total energies = 0.715 eV per atom

=====

No. 10
# Mn2TeSe

A relaxed structure of Mn2TeSe (PBE-GGA, Alexandria).

Cell: 6.852 5.631 4.251 Å, 63.56 96.39 130.58°
Site moments in Bohr magnetons follow the coordinates.
Fractional coordinates of all 4 atoms:
Mn 0.500 0.000 0.500  4.15
Mn 0.000 0.000 0.000  4.15
Se 0.000 0.500 0.500  0.09
Te 0.500 0.500 0.000  0.08

polymorph energy (0 for the lowest one) = 0.3146 eV per atom
total magnetic moment = 9.3 μB per cell
SG = C2/m
VASP energy = -24.4 eV for the cell shown
formation energy from raw total energies = 0.138 eV per atom

=====

No. 11
# Mn2TeSe

A relaxed structure of Mn2TeSe (PBE-GGA, Alexandria).

Cell: 5.525 5.525 6.765 Å, 65.90 65.90 90.00°
Fractional coordinates of all 8 atoms:
Mn 0.375 0.407 0.750
Mn 0.593 0.125 0.250
Mn 0.875 0.843 0.750
Mn 0.157 0.625 0.250
Se 0.500 0.500 0.000
Se 0.250 0.750 0.500
Te 0.750 0.250 0.500
Te 0.000 0.000 0.000

polymorph energy (0 for the lowest one) = 0.5513 eV per atom
total magnetic moment = 0.0 μB per cell
SG = I-42d
VASP energy = -46.9 eV for the cell shown
formation energy from raw total energies = 0.374 eV per atom

=====

No. 12
# MnTeSe4

A relaxed structure of MnTeSe4 (PBE-GGA, Alexandria).

Cell: 5.758 5.758 5.758 Å, 60.00 60.00 60.00°
Site moments in Bohr magnetons follow the coordinates.
Fractional coordinates of all 6 atoms:
Se 0.374 0.879 0.374  -0.02
Se 0.374 0.374 0.879  -0.02
Se 0.374 0.374 0.374  -0.02
Se 0.879 0.374 0.374  -0.02
Te 0.750 0.750 0.750  -0.20
Mn 0.000 0.000 0.000  4.32

total magnetic moment = 4.2 μB per cell
SG = F-43m
VASP energy = -22.3 eV for the cell shown
formation energy from raw total energies = 0.665 eV per atom

=====

No. 13
# MnTeSe4

A relaxed structure of MnTeSe4 (PBE-GGA, Alexandria).

Cell: 3.754 7.565 6.626 Å, 116.26 90.00 104.37°
Site moments in Bohr magnetons follow the coordinates.
Fractional coordinates of all 6 atoms:
Se 0.380 0.761 0.084  -0.03
Se 0.620 0.239 0.916  -0.03
Se 0.111 0.221 0.474  -0.08
Se 0.889 0.779 0.526  -0.08
Te 0.000 0.000 0.000  0.04
Mn 0.500 0.000 0.500  3.06

total magnetic moment = 3.0 μB per cell
SG = C2/m
VASP energy = -27.5 eV for the cell shown
formation energy from raw total energies = -0.204 eV per atom

=====

No. 14
# Mn2TeSe3

A relaxed structure of Mn2TeSe3 (PBE-GGA, Alexandria).

Cell: 6.743 7.089 7.089 Å, 120.00 90.00 90.00°
Site moments in Bohr magnetons follow the coordinates.
Fractional coordinates of all 12 atoms:
Se 0.207 0.833 0.666  -0.09
Se 0.793 0.167 0.334  -0.09
Se 0.207 0.334 0.167  -0.09
Se 0.207 0.833 0.167  -0.09
Se 0.793 0.167 0.833  -0.09
Se 0.793 0.666 0.833  -0.09
Te 0.254 0.333 0.667  -0.12
Te 0.746 0.667 0.333  -0.12
Mn 0.000 0.500 0.500  2.91
Mn 0.000 0.000 0.500  2.91
Mn 0.000 0.500 0.000  2.91
Mn 0.000 0.000 0.000  2.96

total magnetic moment = 11.2 μB per cell
SG = P-3m1
VASP energy = -68.7 eV for the cell shown
formation energy from raw total energies = -0.401 eV per atom

=====

No. 15
# Mn2TeSe

A relaxed structure of Mn2TeSe (PBE-GGA, Alexandria).

Cell: 5.595 5.595 5.595 Å, 140.29 96.48 96.77°
Site moments in Bohr magnetons follow the coordinates.
Fractional coordinates of all 4 atoms:
Te 0.250 0.750 0.500  0.06
Mn 0.979 0.979 0.000  4.14
Mn 0.521 0.521 0.000  4.14
Se 0.750 0.250 0.500  0.11

polymorph energy (0 for the lowest one) = 0.2713 eV per atom
total magnetic moment = 9.3 μB per cell
SG = Immm
VASP energy = -24.6 eV for the cell shown
formation energy from raw total energies = 0.094 eV per atom

=====

No. 16
# MnTe2Se

A relaxed structure of MnTe2Se (PBE-GGA, Alexandria).

Cell: 8.459 8.459 8.459 Å, 25.95 25.95 25.95°
Fractional coordinates of all 4 atoms:
Te 0.890 0.890 0.890
Te 0.110 0.110 0.110
Se 0.000 0.000 0.000
Mn 0.500 0.500 0.500

total magnetic moment = 0.0 μB per cell
SG = R-3m
VASP energy = -18.1 eV for the cell shown
formation energy from raw total energies = 0.215 eV per atom

=====

No. 17
# MnTe2Se

A relaxed structure of MnTe2Se (PBE-GGA, Alexandria).

Cell: 3.891 5.762 6.779 Å, 45.73 90.00 90.00°
Site moments in Bohr magnetons follow the coordinates.
Fractional coordinates of all 4 atoms:
Se 0.500 0.750 0.750  0.03
Mn 0.500 0.250 0.250  3.29
Te 0.000 0.402 0.422  -0.10
Te 0.000 0.098 0.078  -0.10

total magnetic moment = 3.2 μB per cell
SG = P2/m
VASP energy = -19.2 eV for the cell shown
formation energy from raw total energies = -0.063 eV per atom

=====

No. 18
# Mn2TeSe

A relaxed structure of Mn2TeSe (PBE-GGA, Alexandria).

Cell: 8.120 8.120 8.120 Å, 153.19 153.19 38.29°
Site moments in Bohr magnetons follow the coordinates.
Fractional coordinates of all 4 atoms:
Te 0.750 0.250 0.500  0.08
Mn 0.250 0.750 0.500  4.02
Mn 0.000 0.000 0.000  4.25
Se 0.500 0.500 0.000  0.09

polymorph energy (0 for the lowest one) = 0.3127 eV per atom
total magnetic moment = 9.3 μB per cell
SG = I-4m2
VASP energy = -24.4 eV for the cell shown
formation energy from raw total energies = 0.136 eV per atom

=====

No. 19
# Mn2TeSe

A relaxed structure of Mn2TeSe (PBE-GGA, Alexandria).

Cell: 4.405 4.405 4.405 Å, 60.00 60.00 60.00°
Site moments in Bohr magnetons follow the coordinates.
Fractional coordinates of all 4 atoms:
Mn 0.750 0.750 0.750  0.60
Mn 0.250 0.250 0.250  0.60
Te 0.500 0.500 0.500  -0.04
Se 0.000 0.000 0.000  -0.01

polymorph energy (0 for the lowest one) = 0.6329 eV per atom
total magnetic moment = 1.1 μB per cell
SG = Fm-3m
VASP energy = -23.1 eV for the cell shown
formation energy from raw total energies = 0.456 eV per atom

=====

No. 20
# MnTe2Se

A relaxed structure of MnTe2Se (PBE-GGA, Alexandria).

Cell: 6.443 6.443 7.765 Å, 65.49 65.49 90.00°
Site moments in Bohr magnetons follow the coordinates.
Fractional coordinates of all 8 atoms:
Te 0.875 0.825 0.750  -0.14
Te 0.575 0.125 0.250  -0.12
Te 0.375 0.425 0.750  -0.14
Te 0.175 0.625 0.250  -0.12
Mn 0.250 0.750 0.500  3.53
Mn 0.500 0.500 0.000  3.53
Se 0.750 0.250 0.500  -0.29
Se 0.000 0.000 0.000  -0.29

total magnetic moment = 5.9 μB per cell
SG = I-42d
VASP energy = -36.1 eV for the cell shown
formation energy from raw total energies = 0.227 eV per atom

=====

No. 21
# MnTe2Se

A relaxed structure of MnTe2Se (PBE-GGA, Alexandria).

Cell: 7.929 7.929 7.929 Å, 27.73 27.73 27.73°
Site moments in Bohr magnetons follow the coordinates.
Fractional coordinates of all 4 atoms:
Se 0.750 0.750 0.750  -0.15
Mn 0.250 0.250 0.250  3.08
Te 0.514 0.514 0.514  -0.10
Te 0.986 0.986 0.986  -0.10

total magnetic moment = 2.7 μB per cell
SG = R-3m
VASP energy = -18.7 eV for the cell shown
formation energy from raw total energies = 0.068 eV per atom

=====

No. 22
# Mn2TeSe

A relaxed structure of Mn2TeSe (PBE-GGA, Alexandria).

Cell: 7.176 7.176 7.176 Å, 31.48 31.48 31.48°
Site moments in Bohr magnetons follow the coordinates.
Fractional coordinates of all 4 atoms:
Mn 0.253 0.253 0.253  3.06
Mn 0.988 0.988 0.988  2.91
Te 0.718 0.718 0.718  -0.04
Se 0.540 0.540 0.540  -0.01

polymorph energy (0 for the lowest one) = 0.2066 eV per atom
total magnetic moment = 6.4 μB per cell
SG = R3m
VASP energy = -24.8 eV for the cell shown
formation energy from raw total energies = 0.030 eV per atom

=====

No. 23
# MnTe2Se

A relaxed structure of MnTe2Se (PBE-GGA, Alexandria).

Cell: 8.637 8.637 8.637 Å, 153.49 153.49 37.84°
Site moments in Bohr magnetons follow the coordinates.
Fractional coordinates of all 4 atoms:
Se 0.750 0.250 0.500  0.01
Te 0.250 0.750 0.500  0.01
Te 0.000 0.000 0.000  0.06
Mn 0.500 0.500 0.000  4.24

total magnetic moment = 4.8 μB per cell
SG = I-4m2
VASP energy = -18.1 eV for the cell shown
formation energy from raw total energies = 0.199 eV per atom

=====

No. 24
# MnTe2Se

A relaxed structure of MnTe2Se (PBE-GGA, Alexandria).

Cell: 3.622 5.358 6.328 Å, 55.12 90.00 90.00°
Site moments in Bohr magnetons follow the coordinates.
Fractional coordinates of all 4 atoms:
Te 0.500 0.308 0.325  -0.10
Te 0.000 0.996 0.008  -0.03
Se 0.500 0.694 0.653  -0.06
Mn 0.000 0.503 0.514  3.18

total magnetic moment = 3.1 μB per cell
SG = Pm
VASP energy = -19.4 eV for the cell shown
formation energy from raw total energies = -0.108 eV per atom

=====

No. 25
# Mn2TeSe

A relaxed structure of Mn2TeSe (PBE-GGA, Alexandria).

Cell: 4.644 4.644 3.294 Å, 90.00 90.00 90.00°
Site moments in Bohr magnetons follow the coordinates.
Fractional coordinates of all 4 atoms:
Mn 0.500 0.500 0.000  3.24
Mn 0.000 0.000 0.000  3.24
Se 0.500 0.000 0.500  -0.13
Te 0.000 0.500 0.500  -0.16

polymorph energy (0 for the lowest one) = 0.3564 eV per atom
total magnetic moment = 6.3 μB per cell
SG = P4/mmm
VASP energy = -24.2 eV for the cell shown
formation energy from raw total energies = 0.179 eV per atom

=====

No. 26
# MnTe2Se

A relaxed structure of MnTe2Se (PBE-GGA, Alexandria).

Cell: 4.606 4.618 4.618 Å, 90.00 90.00 90.00°
Site moments in Bohr magnetons follow the coordinates.
Fractional coordinates of all 4 atoms:
Se 0.500 0.000 0.500  -0.03
Te 0.000 0.500 0.500  -0.01
Te 0.000 0.000 0.000  -0.01
Mn 0.500 0.500 0.000  4.26

total magnetic moment = 4.6 μB per cell
SG = P4/mmm
VASP energy = -16.9 eV for the cell shown
formation energy from raw total energies = 0.506 eV per atom

=====

No. 27
# Mn2TeSe

A relaxed structure of Mn2TeSe (PBE-GGA, Alexandria).

Cell: 3.386 3.386 7.126 Å, 90.00 90.00 90.00°
Site moments in Bohr magnetons follow the coordinates.
Fractional coordinates of all 4 atoms:
Mn 0.500 0.500 0.242  3.24
Mn 0.000 0.000 0.029  2.78
Te 0.500 0.500 0.852  -0.10
Se 0.000 0.000 0.377  -0.06

polymorph energy (0 for the lowest one) = 0.0063 eV per atom
total magnetic moment = 6.1 μB per cell
SG = P4mm
VASP energy = -25.6 eV for the cell shown
formation energy from raw total energies = -0.171 eV per atom

=====

No. 28
# Mn2TeSe

A relaxed structure of Mn2TeSe (PBE-GGA, Alexandria).

Cell: 3.554 3.807 6.436 Å, 90.02 90.00 90.00°
Site moments in Bohr magnetons follow the coordinates.
Fractional coordinates of all 4 atoms:
Te 0.500 0.750 0.750  -0.05
Mn 0.000 0.250 0.534  3.77
Mn 0.000 0.250 0.966  3.77
Se 0.500 0.250 0.250  0.02

polymorph energy (0 for the lowest one) = 0.1982 eV per atom
total magnetic moment = 8.1 μB per cell
SG = Pmmm
VASP energy = -24.9 eV for the cell shown
formation energy from raw total energies = 0.021 eV per atom

=====

No. 29
# MnTe2Se

A relaxed structure of MnTe2Se (PBE-GGA, Alexandria).

Cell: 3.863 8.084 4.041 Å, 90.00 90.00 90.00°
Site moments in Bohr magnetons follow the coordinates.
Fractional coordinates of all 4 atoms:
Se 0.000 0.500 0.500  0.00
Mn 0.500 0.000 0.500  4.21
Te 0.000 0.000 0.000  0.05
Te 0.500 0.500 0.000  0.00

total magnetic moment = 4.7 μB per cell
SG = Pmmm
VASP energy = -18.1 eV for the cell shown
formation energy from raw total energies = 0.210 eV per atom